Entry 1:
{"formula": "TbCoPd", "functional": "GGA-PBE", "state": "relaxed", "dos_ef_per_ev_cell": 5.7, "magmom_total_mub_per_atom": 0.334, "lattice_angstrom": [[-1.375, -4.072, -3.465], [-0.067, -0.912, 5.445], [-2.819, 4.479, 1.433]], "species": ["Co", "Co", "Tb", "Tb", "Pd", "Pd"], "fractional_positions": [[0.250, 0.974, 0.224], [0.750, 0.026, 0.776], [0.251, 0.633, 0.884], [0.749, 0.367, 0.116], [0.500, 0.500, 0.500], [0.000, 0.000, 0.500]]}



Entry 2:
{"formula": "LiTl2Co", "functional": "GGA-PBE", "state": "relaxed", "dos_ef_per_ev_cell": 1.1, "magmom_total_mub_per_atom": 0.189, "lattice_angstrom": [[-0.831, 3.238, -0.113], [-1.698, -0.535, -2.833], [-5.405, -1.265, 3.478]], "species": ["Tl", "Tl", "Co", "Li"], "fractional_positions": [[0.000, 0.000, 0.487], [0.000, 0.000, 0.013], [0.500, 0.500, 0.250], [0.500, 0.500, 0.750]]}



Entry 3:
{"formula": "CePrY", "functional": "GGA-PBE", "state": "relaxed", "dos_ef_per_ev_cell": 7.1, "de_polymorph_mev_per_atom": 0, "magmom_total_mub_per_atom": 0.214, "lattice_angstrom": [[3.575, 0.000, 0.000], [-1.787, 3.096, 0.000], [0.000, 0.000, 8.815]], "species": ["Y", "Ce", "Pr"], "fractional_positions": [[0.667, 0.333, 0.342], [0.333, 0.667, 0.664], [0.000, 0.000, 0.994]]}



Entry 4:
{"formula": "AlCo2Pb", "functional": "GGA-PBE", "state": "relaxed", "dos_ef_per_ev_cell": 17.4, "de_polymorph_mev_per_atom": 97, "magmom_total_mub_per_atom": 0.472, "lattice_angstrom": [[-4.159, -2.580, -1.006], [0.322, -1.879, 3.489], [-6.041, 9.995, 5.942]], "species": ["Co", "Co", "Co", "Co", "Co", "Co", "Co", "Co", "Al", "Al", "Al", "Al", "Pb", "Pb", "Pb", "Pb"], "fractional_positions": [[0.550, 0.500, 0.208], [0.851, 0.000, 0.108], [0.650, 0.000, 0.534], [0.851, 0.500, 0.608], [0.550, 0.000, 0.708], [0.650, 0.500, 0.034], [0.149, 0.500, 0.022], [0.149, 0.000, 0.522], [0.043, 0.500, 0.196], [0.365, 0.500, 0.602], [0.043, 0.000, 0.696], [0.365, 0.000, 0.102], [0.380, 0.500, 0.837], [0.879, 0.000, 0.905], [0.380, 0.000, 0.337], [0.879, 0.500, 0.405]]}



Ordered formation energy from the elements results: -0.238; 0.183; 0.078; 0.060; unit eV per atom.